This record from Alexandria describes crystalline PuPa3Si4 at its relaxed geometry. The functional is PBE-GGA.

Results
Its space-group type is Immm. The value obtained for the total energy is -8.34 eV per atom.

Lattice parameters (Å, degrees): 3.8706 6.4198 14.7953 90.00 90.00 90.00
Last column: nearest neighbours and their distance in Å.
Fractional positions:
Pu1 0.0000 0.0000 0.0000  4 Si 2.82
Pu2 0.5000 0.5000 0.5000  4 Si 2.82
Pa1 0.0000 0.0000 0.5000  8 Si 3.01
Pa2 0.0000 0.5000 0.3124  6 Si 2.90-2.91
Pa3 0.0000 0.5000 0.6876  6 Si 2.90-2.91
Pa4 0.5000 0.0000 0.1876  6 Si 2.90-2.91
Pa5 0.5000 0.0000 0.8124  6 Si 2.90-2.91
Pa6 0.5000 0.5000 0.0000  8 Si 3.01
Si1 0.0000 0.3149 0.1333  1 Si 2.38
Si2 0.0000 0.3149 0.8667  1 Si 2.38
Si3 0.0000 0.6851 0.1333  1 Si 2.38
Si4 0.0000 0.6851 0.8667  1 Si 2.38
Si5 0.5000 0.1851 0.3667  1 Si 2.38
Si6 0.5000 0.1851 0.6333  1 Si 2.38
Si7 0.5000 0.8149 0.3667  1 Si 2.38
Si8 0.5000 0.8149 0.6333  1 Si 2.38